[1]
RhI2Br | GGA-PBE | relaxed

Cell: 3.956 5.172 6.890 Å, 68.18 73.68 90.03°
Atoms (fractional coordinates):
Rh: 0.005 0.992 0.015
I: 0.360 0.847 0.308
I: 0.647 0.140 0.717
Br: 0.988 0.520 0.960

Output
**Relative energy among the computed polymorphs**: 0.000 eV per formula unit
**ΔE_f (raw)**: -168 meV/atom


[2]
BaYRh2 | GGA-PBE | relaxed

Cell: 4.635 4.635 6.387 Å, 68.72 68.72 60.01°
Atoms (fractional coordinates):
Ba: 0.750 0.750 0.750
Rh: 0.955 0.955 0.136
Rh: 0.545 0.545 0.364
Y: 0.250 0.250 0.250

Output
**DFT formation energy**: -0.289 eV/atom


[3]
HoCdCu2 | GGA-PBE | relaxed

Cell: 4.330 6.207 11.007 Å, 90.00 90.00 90.00°
Atoms (fractional coordinates):
Ho: 0.750 0.279 0.331
Ho: 0.250 0.721 0.669
Ho: 0.750 0.779 0.169
Ho: 0.250 0.221 0.831
Cd: 0.750 0.317 0.040
Cd: 0.250 0.683 0.960
Cd: 0.750 0.817 0.460
Cd: 0.250 0.183 0.540
Cu: 0.250 0.947 0.321
Cu: 0.750 0.053 0.679
Cu: 0.250 0.447 0.179
Cu: 0.750 0.553 0.821
Cu: 0.250 0.061 0.100
Cu: 0.750 0.939 0.900
Cu: 0.250 0.561 0.400
Cu: 0.750 0.439 0.600

Output
**DFT formation energy**: -0.191 eV/atom


[4]
LiTa4Si | GGA-PBE | relaxed

Cell: 5.445 5.445 5.445 Å, 60.00 60.00 60.00°
Atoms (fractional coordinates):
Li: 0.750 0.750 0.750
Ta: 0.872 0.376 0.376
Ta: 0.376 0.376 0.872
Ta: 0.376 0.872 0.376
Ta: 0.376 0.376 0.376
Si: 0.000 0.000 0.000

Output
**ΔE_f (raw)**: 664 meV/atom


[5]
BaRe3H | GGA-PBE | relaxed

Cell: 5.322 5.322 5.322 Å, 90.00 90.00 90.00°
Site moments in Bohr magnetons follow the coordinates.
Atoms (fractional coordinates):
Re: 0.000 0.500 0.000  2.59
Re: 0.000 0.000 0.500  2.27
Re: 0.500 0.000 0.000  2.92
Ba: 0.000 0.000 0.000  -0.10
H: 0.500 0.500 0.500  0.30

Output
**Relative energy among the computed polymorphs**: 14.498 eV per formula unit


[6]
Tb2Nd4Ho5 | GGA-PBE | relaxed

Cell: 3.509 9.242 12.518 Å, 111.66 98.06 90.00°
Atoms (fractional coordinates):
Tb: 0.270 0.270 0.539
Tb: 0.730 0.730 0.461
Nd: 0.000 0.294 0.000
Nd: 0.596 0.596 0.192
Nd: 0.000 0.706 0.000
Nd: 0.404 0.404 0.808
Ho: 0.853 0.051 0.705
Ho: 0.853 0.654 0.705
Ho: 0.147 0.346 0.295
Ho: 0.147 0.949 0.295
Ho: 0.500 0.000 0.000

Output
**Relative energy among the computed polymorphs**: 1.863 eV per formula unit
**DFT formation energy**: 0.275 eV/atom


[7]
Y8GaTe4As3 | GGA-PBE | relaxed

Cell: 8.456 8.593 8.455 Å, 119.48 120.00 90.00°
Atoms (fractional coordinates):
Y: 0.239 0.721 0.982
Y: 0.239 0.721 0.477
Y: 0.260 0.281 0.521
Y: 0.744 0.721 0.982
Y: 0.256 0.279 0.018
Y: 0.740 0.719 0.479
Y: 0.761 0.279 0.523
Y: 0.761 0.279 0.018
Ga: 0.000 0.500 0.000
Te: 0.500 0.000 0.000
Te: 0.500 0.000 0.500
Te: 0.000 0.000 0.000
Te: 0.000 0.000 0.500
As: 0.500 0.500 0.000
As: 0.500 0.500 0.500
As: 0.000 0.500 0.500

Output
**ΔE_f (raw)**: -1392 meV/atom


[8]
Ca2InPb6 | GGA-PBE | relaxed

Cell: 3.617 9.549 9.549 Å, 122.55 90.00 90.00°
Atoms (fractional coordinates):
Ca: 0.000 0.657 0.334
Ca: 0.000 0.334 0.657
In: 0.500 0.020 0.020
Pb: 0.500 0.384 0.384
Pb: 0.500 0.620 0.001
Pb: 0.500 0.001 0.620
Pb: 0.000 0.730 0.730
Pb: 0.000 0.275 0.979
Pb: 0.000 0.979 0.275

Output
**DFT formation energy**: -0.141 eV/atom


DFT total energy? In order: -12.80; -24.25; -57.80; -50.77; -19.96; -48.20; -103.52; -30.26 eV for the cell shown.